VASP calculation (PBE) on CaAs4Os after structural relaxation.

Computed properties:
Total energy ... -4.763 eV/atom

Unit cell a=7.8261 b=7.8261 c=7.8261 alpha=90.00 beta=90.00 gamma=90.00
Space group F-43m (No. 216)
Symmetry-distinct sites (fractional):
Ca 0.0000 0.0000 0.0000 x4
As 0.1239 0.1239 0.3761 x16
Os 0.2500 0.2500 0.7500 x4

=====

VASP calculation (PBE) on CaAs2Os after structural relaxation.

Computed properties:
Total energy ... -5.716 eV/atom
Relative energy among the computed polymorphs ... 0.317 eV/atom

Unit cell a=3.1694 b=3.1694 c=7.2182 alpha=90.00 beta=90.00 gamma=90.00
Space group P4/mmm (No. 123)
Symmetry-distinct sites (fractional):
Ca 0.0000 0.0000 0.0000 x1
As 0.5000 0.5000 0.2933 x2
Os 0.0000 0.0000 0.5000 x1